Record 1
A plane-wave DFT calculation with GGA-PBE was carried out for a geometry-optimized AlNi2Rh structure.

Output
total magnetization	1.5	μB per cell
electronic total energy	-48.3	eV per cell

Cell and atoms, written as CIF:
```
data_AlNi2Rh
_chemical_formula_sum 'Al2 Ni4 Rh2'
_cell_length_a 2.9273
_cell_length_b 4.0774
_cell_length_c 8.3057
_cell_angle_alpha 90.00
_cell_angle_beta 90.00
_cell_angle_gamma 90.00
_space_group_name_H-M_alt 'I m m m'
_space_group_IT_number 71
_space_group_name_Hall '-I 2 2'
loop_
_atom_site_label
_atom_site_type_symbol
_atom_site_fract_x
_atom_site_fract_y
_atom_site_fract_z
_atom_site_occupancy
Al1 Al 0.0000 0.0000 0.0000 1
Ni1 Ni 0.0000 0.5000 0.2612 1
Rh1 Rh 0.0000 0.0000 0.5000 1
```

***

Record 2
A plane-wave DFT calculation with GGA-PBE was carried out for a geometry-optimized SrCaZn2Ir structure.

Output
total magnetization	0.0	μB per cell
electronic total energy	-15.9	eV per cell

Cell and atoms, written as CIF:
```
data_SrCaZn2Ir
_chemical_formula_sum 'Sr1 Ca1 Zn2 Ir1'
_cell_length_a 5.0339
_cell_length_b 5.0339
_cell_length_c 5.1860
_cell_angle_alpha 90.00
_cell_angle_beta 90.00
_cell_angle_gamma 90.00
_space_group_name_H-M_alt 'P 4/m m m'
_space_group_IT_number 123
_space_group_name_Hall '-P 4 2'
loop_
_atom_site_label
_atom_site_type_symbol
_atom_site_fract_x
_atom_site_fract_y
_atom_site_fract_z
_atom_site_occupancy
Sr1 Sr 0.0000 0.0000 0.0000 1
Ca1 Ca 0.5000 0.5000 0.0000 1
Zn1 Zn 0.0000 0.5000 0.5000 1
Ir1 Ir 0.5000 0.5000 0.5000 1
```

***

Record 3
A plane-wave DFT calculation with GGA-PBE was carried out for a geometry-optimized V2Fe2Cu structure.

Output
total magnetization	0.0	μB per cell
electronic total energy	-76.7	eV per cell
excess energy over the best structure of this formula in the dataset	0.133	eV per atom

Cell and atoms, written as CIF:
```
data_V2Fe2Cu
_chemical_formula_sum 'V4 Fe4 Cu2'
_cell_length_a 6.8253
_cell_length_b 6.8253
_cell_length_c 2.6686
_cell_angle_alpha 90.00
_cell_angle_beta 90.00
_cell_angle_gamma 90.00
_space_group_name_H-M_alt 'P 4/m b m'
_space_group_IT_number 127
_space_group_name_Hall '-P 4 2ab'
loop_
_atom_site_label
_atom_site_type_symbol
_atom_site_fract_x
_atom_site_fract_y
_atom_site_fract_z
_atom_site_occupancy
V1 V 0.1473 0.3527 0.0000 1
Fe1 Fe 0.1499 0.6499 0.5000 1
Cu1 Cu 0.0000 0.0000 0.0000 1
```

***

Record 4
A plane-wave DFT calculation with GGA-PBE was carried out for a geometry-optimized Li2UMo3N6 structure.

Output
total magnetization	0.0	μB per cell
electronic total energy	-214.7	eV per cell
energy relative to the elements, uncorrected	-0.814	eV per atom

Cell and atoms, written as CIF:
```
data_Li2UMo3N6
_chemical_formula_sum 'Li4 U2 Mo6 N12'
_cell_length_a 5.2044
_cell_length_b 9.1445
_cell_length_c 5.5075
_cell_angle_alpha 90.00
_cell_angle_beta 107.42
_cell_angle_gamma 90.00
_space_group_name_H-M_alt 'C 1 2/m 1'
_space_group_IT_number 12
_space_group_name_Hall '-C 2y'
loop_
_atom_site_label
_atom_site_type_symbol
_atom_site_fract_x
_atom_site_fract_y
_atom_site_fract_z
_atom_site_occupancy
Li1 Li 0.0000 0.1660 0.0000 1
U1 U 0.0000 0.5000 0.0000 1
Mo1 Mo 0.0000 0.0000 0.5000 1
Mo2 Mo 0.0000 0.3146 0.5000 1
N1 N 0.2386 0.5000 0.7285 1
N2 N 0.2429 0.1670 0.7489 1
```

***

Record 5
A plane-wave DFT calculation with GGA-PBE was carried out for a geometry-optimized FeCl4 structure.

Output
total magnetization	8.0	μB per cell
electronic total energy	-37.1	eV per cell
energy relative to the elements, uncorrected	-0.544	eV per atom

Cell and atoms, written as CIF:
```
data_FeCl4
_chemical_formula_sum 'Fe2 Cl8'
_cell_length_a 5.7201
_cell_length_b 5.7201
_cell_length_c 10.4914
_cell_angle_alpha 90.00
_cell_angle_beta 90.00
_cell_angle_gamma 90.00
_space_group_name_H-M_alt 'I -4 2 m'
_space_group_IT_number 121
_space_group_name_Hall 'I -4 2'
loop_
_atom_site_label
_atom_site_type_symbol
_atom_site_fract_x
_atom_site_fract_y
_atom_site_fract_z
_atom_site_occupancy
Fe1 Fe 0.0000 0.0000 0.0000 1
Cl1 Cl 0.2073 0.2073 0.8750 1
```

***

Record 6
A plane-wave DFT calculation with GGA-PBE was carried out for a geometry-optimized ZrGeSe structure.

Output
total magnetization	0.0	μB per cell
electronic total energy	-78.1	eV per cell
energy relative to the elements, uncorrected	-0.957	eV per atom
excess energy over the best structure of this formula in the dataset	0.080	eV per atom

Cell and atoms, written as CIF:
```
data_ZrGeSe
_chemical_formula_sum 'Zr4 Ge4 Se4'
_cell_length_a 3.7594
_cell_length_b 3.7594
_cell_length_c 16.6470
_cell_angle_alpha 90.00
_cell_angle_beta 90.00
_cell_angle_gamma 90.00
_space_group_name_H-M_alt 'I 4/m m m'
_space_group_IT_number 139
_space_group_name_Hall '-I 4 2'
loop_
_atom_site_label
_atom_site_type_symbol
_atom_site_fract_x
_atom_site_fract_y
_atom_site_fract_z
_atom_site_occupancy
Zr1 Zr 0.0000 0.0000 0.1314 1
Ge1 Ge 0.0000 0.5000 0.0000 1
Se1 Se 0.0000 0.0000 0.3083 1
```